[1]
Here is an optimized crystal structure of ZrRe2Hg from the Alexandria database. Energies are from PBEsol.

energy of formation	0.1555	eV/atom
V	68.7	Å³/cell
M_tot	0.0	μB per formula unit

Cell lengths 2.929, 4.003, 5.857 Å; angles 90.00, 90.00, 90.00 degrees
Positions (direct):
1 Zr 0.000 0.000 0.000
2 Re 0.000 0.000 0.553
3 Re 0.500 0.500 0.741
4 Hg 0.500 0.500 0.270

[2]
Here is an optimized crystal structure of Li2RhAu from the Alexandria database. Energies are from PBEsol.

energy of formation	-0.2440	eV/atom
V	55.4	Å³/cell
M_tot	0.0	μB per formula unit

Cell lengths 3.116, 4.078, 4.363 Å; angles 90.00, 90.00, 90.00 degrees
Positions (direct):
1 Li 0.000 0.000 0.000
2 Li 0.500 0.000 0.500
3 Rh 0.000 0.500 0.500
4 Au 0.500 0.500 0.000

[3]
Here is an optimized crystal structure of MgAgBi2I from the Alexandria database. Energies are from PBEsol.

V	155.2	Å³/cell
calculated total energy	-2.5685	eV per atom
M_tot	0.0	μB per formula unit

Cell lengths 5.582, 5.582, 4.982 Å; angles 90.00, 90.00, 90.00 degrees
Positions (direct):
1 Mg 0.000 0.000 0.000
2 Ag 0.000 0.000 0.500
3 Bi 0.000 0.500 0.000
4 Bi 0.500 0.000 0.000
5 I 0.500 0.500 0.500

[4]
Here is an optimized crystal structure of Ce2AlGe6 from the Alexandria database. Energies are from PBEsol.

energy of formation	-0.4565	eV/atom
V	363.3	Å³/cell
M_tot	1.3	μB per formula unit

Cell lengths 5.948, 5.948, 10.491 Å; angles 98.20, 98.20, 91.18 degrees
Positions (direct):
1 Ce 0.162 0.666 0.663
2 Ce 0.334 0.838 0.337
3 Ce 0.666 0.162 0.663
4 Ce 0.838 0.334 0.337
5 Al 0.198 0.198 0.798
6 Al 0.802 0.802 0.202
7 Ge 0.066 0.494 0.117
8 Ge 0.067 0.067 0.117
9 Ge 0.149 0.149 0.557
10 Ge 0.364 0.364 0.410
11 Ge 0.493 0.493 0.117
12 Ge 0.494 0.066 0.117
13 Ge 0.506 0.934 0.883
14 Ge 0.507 0.507 0.883
15 Ge 0.636 0.636 0.590
16 Ge 0.851 0.851 0.443
17 Ge 0.933 0.933 0.883
18 Ge 0.934 0.506 0.883

[5]
Here is an optimized crystal structure of Li2InIr from the Alexandria database. Energies are from PBEsol.

energy of formation	-0.1686	eV/atom
V	60.5	Å³/cell
M_tot	0.0	μB per formula unit

Cell lengths 3.829, 3.829, 4.124 Å; angles 90.00, 90.00, 90.00 degrees
Positions (direct):
1 Li 0.000 0.500 0.000
2 Li 0.500 0.000 0.000
3 In 0.000 0.000 0.500
4 Ir 0.500 0.500 0.500

[6]
Here is an optimized crystal structure of FeCo3Rh from the Alexandria database. Energies are from PBEsol.

energy of formation	1.7135	eV/atom
V	84.5	Å³/cell
M_tot	10.2	μB per formula unit

Cell lengths 4.388, 4.388, 4.388 Å; angles 90.00, 90.00, 90.00 degrees
Positions (direct):
1 Fe 0.000 0.000 0.000
2 Co 0.000 0.500 0.500
3 Co 0.500 0.000 0.500
4 Co 0.500 0.500 0.000
5 Rh 0.500 0.500 0.500

[7]
Here is an optimized crystal structure of In2NiCl from the Alexandria database. Energies are from PBEsol.

V	78.2	Å³/cell
M_tot	0.0	μB per formula unit
E above lowest polymorph	0.024	eV/atom

Cell lengths 5.860, 5.860, 5.860 Å; angles 150.41, 127.44, 61.48 degrees
Positions (direct):
1 In 0.000 0.000 0.000
2 In 0.714 0.214 0.500
3 Ni 0.210 0.710 0.500
4 Cl 0.395 0.395 0.000

[8]
Here is an optimized crystal structure of SrBe2Pt from the Alexandria database. Energies are from PBEsol.

energy of formation	-0.4478	eV/atom
V	74.1	Å³/cell
M_tot	0.0	μB per formula unit
E above lowest polymorph	0.029	eV/atom

Cell lengths 5.867, 5.867, 5.867 Å; angles 39.66, 39.66, 39.66 degrees
Positions (direct):
1 Sr 0.000 0.000 0.000
2 Be 0.509 0.509 0.509
3 Be 0.824 0.824 0.824
4 Pt 0.186 0.186 0.186

[9]
Here is an optimized crystal structure of Ta3AlCr8 from the Alexandria database. Energies are from PBEsol.

energy of formation	-0.1058	eV/atom
V	157.9	Å³/cell
M_tot	0.0	μB per formula unit

Cell lengths 4.804, 4.804, 7.903 Å; angles 90.00, 90.00, 120.00 degrees
Positions (direct):
1 Ta 0.000 0.000 0.000
2 Ta 0.000 0.000 0.381
3 Ta 0.667 0.333 0.506
4 Al 0.667 0.333 0.878
5 Cr 0.164 0.329 0.693
6 Cr 0.164 0.836 0.693
7 Cr 0.333 0.667 0.442
8 Cr 0.333 0.667 0.943
9 Cr 0.504 0.008 0.190
10 Cr 0.504 0.496 0.190
11 Cr 0.671 0.836 0.693
12 Cr 0.992 0.496 0.190

[10]
Here is an optimized crystal structure of CaNb2Cr from the Alexandria database. Energies are from PBEsol.

energy of formation	0.8032	eV/atom
V	69.2	Å³/cell
M_tot	0.0	μB per formula unit

Cell lengths 4.608, 4.608, 4.608 Å; angles 60.00, 60.00, 60.00 degrees
Positions (direct):
1 Ca 0.000 0.000 0.000
2 Nb 0.250 0.250 0.250
3 Nb 0.750 0.750 0.750
4 Cr 0.500 0.500 0.500

[11]
Here is an optimized crystal structure of CaGdHg2 from the Alexandria database. Energies are from PBEsol.

energy of formation	-0.6159	eV/atom
V	100.2	Å³/cell
M_tot	7.2	μB per formula unit

Cell lengths 5.214, 5.214, 5.214 Å; angles 60.00, 60.00, 60.00 degrees
Positions (direct):
1 Ca 0.000 0.000 0.000
2 Gd 0.500 0.500 0.500
3 Hg 0.250 0.250 0.250
4 Hg 0.750 0.750 0.750

[12]
Here is an optimized crystal structure of Ag2PCl from the Alexandria database. Energies are from PBEsol.

V	69.9	Å³/cell
M_tot	0.0	μB per formula unit
E above lowest polymorph	0.536	eV/atom

Cell lengths 4.624, 4.624, 4.624 Å; angles 60.00, 60.00, 60.00 degrees
Positions (direct):
1 Ag 0.000 0.000 0.000
2 Ag 0.250 0.250 0.250
3 P 0.500 0.500 0.500
4 Cl 0.750 0.750 0.750